Here is a relaxed Pm6CoRu2Br3 crystal from the Alexandria database. Energies are from GGA-PBE.

Structure (POSCAR):
```
Pm6CoRu2Br3
1.0
6.954 0.003 0.001
-3.472 6.025 0.001
-1.160 -2.009 7.841
Pm Br Ru Co
6 3 2 1
Cartesian
2.281 0.001 1.535
-0.021 -0.037 6.297
0.040 4.018 6.308
-1.139 1.976 1.535
3.461 2.043 6.308
2.342 4.056 1.546
4.620 0.012 3.921
-2.298 4.007 3.921
1.161 2.010 3.921
0.011 4.013 0.001
3.471 2.015 0.001
0.000 0.000 0.000
```

Properties
* space group: C2/m, No. 12
* uncorrected formation energy: -0.755 eV/atom